MgTaS3 at its PBEsol-relaxed geometry, computed with SCAN.

Cell: 4.749 4.749 4.749 Å, 90.00 90.00 90.00°
Fractional coordinates of all 5 atoms:
Mg: 0.000 0.000 0.000
Ta: 0.500 0.500 0.500
S: 0.000 0.500 0.500
S: 0.500 0.000 0.500
S: 0.500 0.500 0.000

Calculated values
The value obtained for the calculated volume is 21.43 Å³/atom. The raw total energy is -20.703 eV per atom. Its theoretical density is 4.67 Mg/m³. The energy relative to the elements, uncorrected is -0.6151 eV per atom.